A relaxed YOsRu2 crystal. Source: Alexandria, functional GGA-PBE.

Cell lengths 6.4593, 6.4593, 6.4593 Å; angles 90.00, 90.00, 90.00 degrees
Closest atoms and distances in Å follow each position.
Space group Fm-3m (No. 225)
Unique sites:
Y: 0.0000 0.0000 0.0000 x4  8 Ru 2.80
Os: 0.0000 0.0000 0.5000 x4  8 Ru 2.80
Ru: 0.2500 0.2500 0.2500 x8  4 Os 2.80, 4 Y 2.80

Computed properties:
* formation enthalpy at 0 K: 122.7 kJ/mol of formula units
* DOS at the Fermi energy: 1.929 states/eV per atom

---

A relaxed Ba3Cd7Ge4 crystal. Source: Alexandria, functional GGA-PBE.

Cell lengths 17.7882, 4.8204, 10.5184 Å; angles 90.00, 124.93, 90.00 degrees
Closest atoms and distances in Å follow each position.
Space group C2/m (No. 12)
Unique sites:
Ba: 0.0000 0.0000 0.0000 x2  6 Ge 3.56-3.60, 6 Cd 3.69-3.70
Ba: 0.1977 0.5000 0.7064 x4  4 Ge 3.36-3.47, 10 Cd 3.48-3.76
Cd: 0.0000 0.0000 0.5000 x2  2 Ge 3.10, 6 Cd 3.19-3.27
Cd: 0.0087 0.5000 0.3104 x4  1 Ge 2.84, 1 Cd 3.03
Cd: 0.1559 0.0000 0.4274 x4  3 Ge 2.87-2.96
Cd: 0.1635 0.5000 0.0170 x4  4 Ge 2.82-2.95, 1 Cd 3.03
Ge: 0.1397 0.0000 0.8579 x4  4 Cd 2.82-3.10
Ge: 0.1578 0.5000 0.2811 x4  5 Cd 2.84-2.96

Computed properties:
* formation enthalpy at 0 K: -424.7 kJ/mol of formula units
* DOS at the Fermi energy: 0.346 states/eV per atom

---

A relaxed Sr2NiBi2H4 crystal. Source: Alexandria, functional GGA-PBE.

Cell lengths 6.5474, 6.5474, 8.5416 Å; angles 90.00, 90.00, 90.00 degrees
Closest atoms and distances in Å follow each position.
Space group I4/mmm (No. 139)
Unique sites:
Sr: 0.0000 0.5000 0.2500 x4  8 H 3.24, 4 Bi 3.33
Ni: 0.0000 0.0000 0.0000 x2  4 H 1.54
Bi: 0.0000 0.0000 0.3243 x4  1 Ni 2.77, 1 Bi 3.00
H: 0.1667 0.1667 0.0000 x8  1 Ni 1.54

Computed properties:
* total energy: -3.5065 eV per atom
* DOS at the Fermi energy: 0.645 states/eV per atom

---

A relaxed BeSnAs2Se crystal. Source: Alexandria, functional GGA-PBE.

Cell lengths 5.2800, 5.2800, 5.2528 Å; angles 90.00, 90.00, 90.00 degrees
Closest atoms and distances in Å follow each position.
Space group P4/mmm (No. 123)
Unique sites:
Be: 0.0000 0.0000 0.0000 x1  8 As 3.72, 4 Se 3.73
Sn: 0.5000 0.5000 0.5000 x1  2 Se 2.63, 4 As 2.64
As: 0.0000 0.5000 0.5000 x2  2 Sn 2.64
Se: 0.5000 0.5000 0.0000 x1  2 Sn 2.63

Computed properties:
* ΔE_f (raw): 1.250 eV/atom
* DOS at the Fermi energy: 1.171 states/eV per atom